This record from Alexandria via LeMat-Bulk describes BeAg2Hg after structural relaxation. The functional is PBE.

Lattice parameters (Å, degrees): 3.149 3.286 6.758 79.85 90.00 90.00
Positions (direct):
Be 0.000 0.748 0.436
Hg 0.500 0.548 0.729
Ag 0.000 0.907 0.031
Ag 0.500 0.297 0.304

E_tot	-0.082	hartree per atom
distance to the lowest polymorph of the same formula	44	meV/atom